Density functional theory data (PBE-GGA) for Y2BiI after structural relaxation.

```
16
Lattice="7.736 0.000 0.000 0.000 7.736 0.000 0.000 0.000 7.736" Properties=species:S:1:pos:R:3 pbc="T T T"
Y 1.934 1.934 1.934
Y 1.934 1.934 5.802
Y 1.934 5.802 1.934
Y 1.934 5.802 5.802
Y 5.802 1.934 1.934
Y 5.802 1.934 5.802
Y 5.802 5.802 1.934
Y 5.802 5.802 5.802
Bi 0.000 0.000 0.000
Bi 0.000 3.868 3.868
Bi 3.868 0.000 3.868
Bi 3.868 3.868 0.000
I 0.000 0.000 3.868
I 0.000 3.868 0.000
I 3.868 0.000 0.000
I 3.868 3.868 3.868
```

Computed properties:
As for the density of states at the Fermi level: 0.537 states/eV/atom. As for the uncorrected formation energy: -715 meV/atom. As for the total energy: -0.3899 Ry/atom. The total magnetization is 0.339 μB/atom. The space group is No. 225. The calculation puts the relative energy among the computed polymorphs at 0.042 eV per atom.